Density functional theory data (PBE) for a geometry-optimized SbCl structure.

```
SbCl
1.0
-2.6377 5.6563 1.1172
-2.6324 -1.4893 1.3252
-1.2990 -1.9804 6.9594
Cl Sb
2 2
Cartesian
-1.2603 -1.9159 6.7241 Cl
-4.3061 0.1614 7.0073 Cl
-1.5210 -1.3475 3.2312 Sb
-2.7464 1.5734 3.5407 Sb
```

* uncorrected formation energy: -0.386 eV per atom
* offset from the most stable computed form: 89 meV per atom
* total energy: -3.37 eV/atom